First-principles (PBE) data for crystalline Mn2InPt3 at its relaxed geometry, as listed in Alexandria.

Calculated values
The calculation puts the volume at 97 Å³ per cell. Its density of states at the Fermi level is 0.4817 states/eV per atom. The calculation puts the final energy at -41.39 eV/cell. For the total magnetization, the calculation gives 8.61 μB/f.u.

Unit cell a=3.1130 b=3.1130 c=9.9778 alpha=90.00 beta=90.00 gamma=90.00
Fractional positions:
Mn1 0.0000 0.0000 0.1577
Mn2 0.0000 0.0000 0.8423
In1 0.0000 0.0000 0.5000
Pt1 0.5000 0.5000 0.0000
Pt2 0.5000 0.5000 0.3135
Pt3 0.5000 0.5000 0.6865